Ba2LiIrS6: optimized geometry, PBE.

Summary:
* magnetization: 2.0 Bohr magnetons per cell
* uncorrected energy: -4.824 eV per atom

a = 6.7975 Å, b = 6.7975 Å, c = 6.7975 Å
α = 120.04°, β = 120.04°, γ = 89.93°
With the nearest neighbours (Å) after each atom.
Fractional coordinates of all 10 atoms:
Li 0.5000 0.5000 0.0000  6 S 2.44
Ba 0.7500 0.2500 0.5000  12 S 3.37-3.43
Ba 0.2500 0.7500 0.5000  12 S 3.37-3.43
S 0.2499 0.7578 0.0077  1 Ir 2.36, 1 Li 2.44
S 0.7578 0.7501 0.5080  1 Ir 2.36, 1 Li 2.44
S 0.7542 0.7542 0.0000  1 Ir 2.36, 1 Li 2.44
S 0.2458 0.2458 0.0000  1 Ir 2.36, 1 Li 2.44
S 0.7501 0.2422 0.9923  1 Ir 2.36, 1 Li 2.44
S 0.2422 0.2499 0.4920  1 Ir 2.36, 1 Li 2.44
Ir 0.0000 0.0000 0.0000  6 S 2.36